(1)
{
  "formula": "KCd2Br",
  "functional": "PBE",
  "state": "optimized geometry",
  "lattice_angstrom": [[4.824, 0.000, 0.000], [0.000, 4.824, 0.000], [0.000, 0.000, 6.449]],
  "species": ["K", "Cd", "Cd", "Br"],
  "frac_coords": [[0.000, 0.000, 0.000], [0.500, 0.500, 0.274], [0.500, 0.500, 0.726], [0.000, 0.000, 0.500]],
  "e_above_lowest_polymorph_mev_per_atom": 215,
  "formation_energy_uncorrected_mev_per_atom": -411,
  "crystal_system": "tetragonal",
  "total_magnetization_mub_per_cell": 0.00,
  "space_group": "P4/mmm",
  "dft_energy_ev_per_atom": -1.561
}

(2)
{
  "formula": "K2CdBr",
  "functional": "PBE",
  "state": "optimized geometry",
  "lattice_angstrom": [[-2.047, 2.148, 9.531], [2.047, -2.148, 9.531], [2.047, 2.148, -9.531]],
  "species": ["K", "K", "Cd", "Br"],
  "frac_coords": [[0.000, 0.000, 0.000], [0.715, 0.215, 0.500], [0.380, 0.380, 0.000], [0.137, 0.637, 0.500]],
  "e_above_lowest_polymorph_mev_per_atom": 34,
  "formation_energy_uncorrected_mev_per_atom": -765,
  "crystal_system": "orthorhombic",
  "total_magnetization_mub_per_cell": 0.00,
  "space_group": "Imm2",
  "dft_energy_ev_per_atom": -1.961
}

(3)
{
  "formula": "KCd2Br",
  "functional": "PBE",
  "state": "optimized geometry",
  "lattice_angstrom": [[4.281, -2.608, 0.000], [4.281, 2.608, 0.000], [-0.090, 0.000, 7.030]],
  "species": ["K", "Cd", "Cd", "Br"],
  "frac_coords": [[0.000, 0.000, 0.000], [0.331, 0.331, 0.627], [0.674, 0.674, 0.606], [0.659, 0.659, 0.177]],
  "e_above_lowest_polymorph_mev_per_atom": 43,
  "formation_energy_uncorrected_mev_per_atom": -583,
  "crystal_system": "monoclinic",
  "total_magnetization_mub_per_cell": 0.00,
  "space_group": "Cm",
  "dft_energy_ev_per_atom": -1.733
}

(4)
{
  "formula": "K2CdBr",
  "functional": "PBE",
  "state": "optimized geometry",
  "lattice_angstrom": [[3.983, 0.000, 0.000], [0.000, 4.066, 0.000], [-0.008, 0.000, 9.016]],
  "species": ["K", "K", "Cd", "Br"],
  "frac_coords": [[0.001, 0.000, 0.281], [0.999, 0.000, 0.719], [0.500, 0.500, 0.000], [0.500, 0.500, 0.500]],
  "e_above_lowest_polymorph_mev_per_atom": 0,
  "formation_energy_uncorrected_mev_per_atom": -800,
  "crystal_system": "monoclinic",
  "total_magnetization_mub_per_cell": 0.00,
  "space_group": "P2/m",
  "dft_energy_ev_per_atom": -1.995
}

> What is the formula in the second record?

K2CdBr